Nd4AlTl2 | PBE-GGA | relaxed

Unit cell a=5.383 b=5.383 c=9.325 alpha=73.23 beta=73.23 gamma=60.00
Positions (direct):
Tl 0.752 0.752 0.745
Tl 0.248 0.248 0.255
Nd 0.875 0.875 0.374
Nd 0.125 0.125 0.626
Nd 0.624 0.624 0.129
Nd 0.376 0.376 0.871
Al 0.000 0.000 0.000

**Distance to the lowest polymorph of the same formula**: 0.032 eV/atom
**Calculated volume**: 220.62 Å³/f.u.
**DFT formation energy**: -0.2152 eV/atom
**Symmetry**: R-3m (166)
**M_tot**: 0.000 μB/f.u.

Nd6AlTl2 | PBE-GGA | relaxed

Unit cell a=4.588 b=8.454 c=8.454 alpha=120.00 beta=90.00 gamma=90.00
Last column: magnetic moment on the atom in μB.
Positions (direct):
Nd 0.500 0.597 0.000  0.14
Nd 0.500 0.403 0.403  0.14
Nd 0.500 0.000 0.597  0.14
Nd 0.000 0.258 0.000  0.11
Nd 0.000 0.742 0.742  0.12
Nd 0.000 0.000 0.258  0.12
Al 0.500 0.000 0.000  0.00
Tl 0.000 0.333 0.667  -0.01
Tl 0.000 0.667 0.333  -0.01

**Calculated volume**: 283.99 Å³/f.u.
**DFT formation energy**: -0.2447 eV/atom
**Symmetry**: P-62m (189)
**M_tot**: 1.702 μB/f.u.

Nd7AlTl3 | PBE-GGA | relaxed

Unit cell a=5.935 b=8.260 c=8.260 alpha=91.54 beta=111.08 gamma=111.08
Positions (direct):
Nd 0.185 0.184 0.184
Nd 0.332 0.069 0.594
Nd 0.668 0.406 0.931
Nd 0.332 0.594 0.069
Nd 0.000 0.500 0.500
Nd 0.668 0.931 0.406
Nd 0.815 0.816 0.816
Al 0.500 0.500 0.500
Tl 0.000 0.766 0.234
Tl 0.500 0.000 0.000
Tl 0.000 0.234 0.766

**Calculated volume**: 346.85 Å³/f.u.
**DFT formation energy**: -0.1418 eV/atom
**Symmetry**: Immm (71)
**M_tot**: 0.000 μB/f.u.

Nd6AlTl3 | PBE-GGA | relaxed

Unit cell a=5.406 b=9.695 c=11.936 alpha=106.31 beta=90.00 gamma=90.00
Positions (direct):
Nd 0.250 0.469 0.093
Nd 0.750 0.531 0.907
Nd 0.250 0.125 0.157
Nd 0.750 0.875 0.843
Nd 0.250 0.665 0.675
Nd 0.750 0.335 0.325
Nd 0.250 0.232 0.501
Nd 0.750 0.768 0.499
Nd 0.250 0.854 0.323
Nd 0.750 0.146 0.677
Nd 0.250 0.101 0.877
Nd 0.750 0.899 0.123
Al 0.250 0.954 0.608
Al 0.750 0.046 0.392
Tl 0.250 0.527 0.386
Tl 0.750 0.473 0.614
Tl 0.250 0.381 0.782
Tl 0.750 0.619 0.218
Tl 0.250 0.772 0.971
Tl 0.750 0.228 0.029

**Distance to the lowest polymorph of the same formula**: 0.000 eV/atom
**Calculated volume**: 300.19 Å³/f.u.
**DFT formation energy**: -0.2884 eV/atom
**Symmetry**: P2_1/m (11)
**M_tot**: 0.001 μB/f.u.

Nd12AlTl6 | PBE-GGA | relaxed

Unit cell a=8.366 b=8.366 c=8.366 alpha=90.07 beta=90.07 gamma=90.07
Positions (direct):
Nd 0.810 0.531 0.437
Nd 0.437 0.810 0.531
Nd 0.531 0.437 0.810
Nd 0.190 0.469 0.563
Nd 0.563 0.190 0.469
Nd 0.469 0.563 0.190
Nd 0.064 0.112 0.367
Nd 0.888 0.633 0.936
Nd 0.633 0.936 0.888
Nd 0.936 0.888 0.633
Nd 0.112 0.367 0.064
Nd 0.367 0.064 0.112
Al 0.000 0.000 0.000
Tl 0.728 0.876 0.260
Tl 0.740 0.272 0.124
Tl 0.124 0.740 0.272
Tl 0.272 0.124 0.740
Tl 0.260 0.728 0.876
Tl 0.876 0.260 0.728

**Calculated volume**: 585.57 Å³/f.u.
**DFT formation energy**: -0.1802 eV/atom
**Symmetry**: R-3 (148)
**M_tot**: 0.000 μB/f.u.

Nd12Al3Tl | PBE-GGA | relaxed

Unit cell a=4.920 b=4.920 c=19.734 alpha=90.00 beta=90.00 gamma=90.00
Positions (direct):
Nd 0.500 0.500 0.000
Nd 0.500 0.500 0.253
Nd 0.500 0.500 0.500
Nd 0.500 0.500 0.747
Nd 0.500 0.000 0.130
Nd 0.500 0.000 0.376
Nd 0.500 0.000 0.624
Nd 0.500 0.000 0.870
Nd 0.000 0.500 0.130
Nd 0.000 0.500 0.376
Nd 0.000 0.500 0.624
Nd 0.000 0.500 0.870
Al 0.000 0.000 0.252
Al 0.000 0.000 0.500
Al 0.000 0.000 0.748
Tl 0.000 0.000 0.000

**Calculated volume**: 477.77 Å³/f.u.
**DFT formation energy**: -0.1781 eV/atom
**Symmetry**: P4/mmm (123)
**M_tot**: 0.000 μB/f.u.

NdAl2Tl | PBE-GGA | relaxed

Unit cell a=4.469 b=4.569 c=4.569 alpha=90.00 beta=90.00 gamma=90.00
Positions (direct):
Tl 0.500 0.000 0.000
Nd 0.500 0.500 0.500
Al 0.000 0.000 0.500
Al 0.000 0.500 0.000

**Calculated volume**: 93.28 Å³/f.u.
**DFT formation energy**: -0.2654 eV/atom
**Symmetry**: P4/mmm (123)
**M_tot**: 0.000 μB/f.u.

NdYAlTl | PBE-GGA | relaxed

Unit cell a=5.334 b=5.334 c=5.334 alpha=60.00 beta=60.00 gamma=60.00
Positions (direct):
Y 0.750 0.750 0.750
Tl 0.000 0.000 0.000
Nd 0.250 0.250 0.250
Al 0.500 0.500 0.500

**Distance to the lowest polymorph of the same formula**: 0.025 eV/atom
**Calculated volume**: 107.32 Å³/f.u.
**DFT formation energy**: -0.3551 eV/atom
**Symmetry**: F-43m (216)
**M_tot**: 0.000 μB/f.u.